Model 1:
Here is a relaxed structure of SiI2N2 from Alexandria via LeMat-Bulk. Energies are from GGA-PBE.

Cell lengths 4.732, 4.732, 4.108 Å; angles 90.00, 90.00, 90.00 degrees
Sites, in units of the cell vectors:
I 0.000 0.500 0.000
I 0.500 0.000 0.000
Si 0.500 0.500 0.500
N 0.000 0.000 0.000
N 0.000 0.000 0.500

Properties
Size of the total moment   0.000 μB/atom

Model 2:
Here is a relaxed structure of SiI2N2 from Alexandria via LeMat-Bulk. Energies are from GGA-PBE.

Cell lengths 4.107, 4.107, 8.083 Å; angles 90.00, 90.00, 90.00 degrees
Sites, in units of the cell vectors:
I 0.000 0.000 0.000
I 0.000 0.000 0.500
Si 0.500 0.500 0.500
N 0.000 0.500 0.000
N 0.500 0.000 0.000

Properties
Size of the total moment   0.326 μB/atom

Structures ranked by computed energy, the most stable listed first: model 2, model 1.

Model 1:
Here is a relaxed structure of SiI2N2 from Alexandria via LeMat-Bulk. Energies are from GGA-PBE.

Cell lengths 6.135, 6.135, 3.226 Å; angles 90.00, 90.00, 90.00 degrees
Sites, in units of the cell vectors:
I 0.000 0.500 0.000
I 0.500 0.000 0.000
Si 0.000 0.000 0.000
N 0.500 0.500 0.500
N 0.000 0.000 0.500

Properties
Size of the total moment   0.553 μB/atom

Model 2:
Here is a relaxed structure of SiI2N2 from Alexandria via LeMat-Bulk. Energies are from GGA-PBE.

Cell lengths 3.940, 3.940, 6.569 Å; angles 90.00, 90.00, 90.00 degrees
Sites, in units of the cell vectors:
I 0.500 0.500 0.500
I 0.000 0.000 0.500
Si 0.000 0.000 0.000
N 0.000 0.500 0.000
N 0.500 0.000 0.000

Properties
Size of the total moment   0.000 μB/atom

Structures ranked by computed energy, the most stable listed first: model 1, model 2.

Model 1:
Here is a relaxed structure of Si3IN from Alexandria via LeMat-Bulk. Energies are from GGA-PBE.

Cell lengths 4.397, 4.397, 4.397 Å; angles 90.00, 90.00, 90.00 degrees
Sites, in units of the cell vectors:
I 0.500 0.500 0.500
Si 0.000 0.500 0.000
Si 0.000 0.000 0.500
Si 0.500 0.000 0.000
N 0.000 0.000 0.000

Properties
Size of the total moment   0.000 μB/atom

Model 2:
Here is a relaxed structure of Si3IN from Alexandria via LeMat-Bulk. Energies are from GGA-PBE.

Cell lengths 5.311, 5.311, 5.311 Å; angles 90.00, 90.00, 90.00 degrees
Sites, in units of the cell vectors:
I 0.000 0.000 0.000
Si 0.000 0.500 0.000
Si 0.000 0.000 0.500
Si 0.500 0.000 0.000
N 0.500 0.500 0.500

Properties
Size of the total moment   0.000 μB/atom

Structures ranked by computed energy, the most stable listed first: model 1, model 2.